1.
First-principles (PBE) data for a geometry-optimized ErLu2In structure, as listed in the Alexandria database.

```
ErLu2In
1.0
-1.963 -2.618 -0.988
1.435 -2.814 -1.307
0.567 -6.422 9.981
Lu In Er
2 1 1
Direct
0.095 0.095 0.715
0.905 0.905 0.285
0.500 0.500 0.500
0.000 0.000 0.000
```

Energy relative to the elements   0.099 eV/atom
Final energy   -0.293 Ry per atom

***

2.
First-principles (PBE) data for a geometry-optimized BaCoBr2 structure, as listed in the Alexandria database.

```
BaCoBr2
1.0
6.402 -0.100 0.284
4.978 4.027 0.284
0.817 0.282 4.363
Ba Br Co
1 2 1
Direct
0.306 0.306 0.074
0.990 0.990 0.312
0.690 0.690 0.654
0.514 0.514 0.460
```

Formation energy from raw total energies   -0.731 eV per atom
Final energy   -0.281 Ry per atom

***

3.
First-principles (PBE) data for a geometry-optimized Be2Cu4Au3 structure, as listed in the Alexandria database.

```
Be2Cu4Au3
1.0
4.095 0.012 0.004
2.053 4.508 1.329
0.004 -0.087 6.388
Be Cu Au
2 4 3
Direct
0.780 0.438 0.677
0.220 0.562 0.323
0.323 0.355 0.030
0.875 0.253 0.341
0.125 0.747 0.659
0.677 0.645 0.970
0.585 0.829 0.348
0.000 0.000 0.000
0.415 0.171 0.652
```

Energy relative to the elements   -0.065 eV/atom
Final energy   -0.280 Ry per atom

***

4.
First-principles (PBE) data for a geometry-optimized LiTlTe2Se4 structure, as listed in the Alexandria database.

```
LiTlTe2Se4
1.0
7.885 0.000 0.000
3.943 5.213 0.087
3.943 0.664 5.171
Li Tl Te Se
1 1 2 4
Direct
0.000 0.500 0.500
0.000 0.000 0.000
0.500 0.750 0.250
0.500 0.250 0.750
0.621 0.450 0.929
0.379 0.071 0.550
0.000 0.550 0.071
0.000 0.929 0.450
```

Formation energy from raw total energies   -0.248 eV per atom
Final energy   -0.243 Ry per atom

***

5.
First-principles (PBE) data for a geometry-optimized SrSNCl2 structure, as listed in the Alexandria database.

```
SrSNCl2
1.0
5.675 0.000 0.000
0.000 5.675 0.000
0.000 0.000 6.222
Sr S N Cl
1 1 1 2
Direct
0.000 0.000 0.000
0.000 0.000 0.500
0.500 0.500 0.500
0.000 0.500 0.000
0.500 0.000 0.000
```

Formation energy from raw total energies   0.244 eV per atom
Final energy   -0.244 Ry per atom

***

6.
First-principles (PBE) data for a geometry-optimized Ti2TeC structure, as listed in the Alexandria database.

```
Ti2TeC
1.0
-4.387 3.215 -0.836
0.637 -0.546 -5.439
-4.918 -2.802 -3.079
C Te Ti
2 2 4
Direct
0.500 0.500 0.000
0.250 0.750 0.500
0.000 0.000 0.000
0.750 0.250 0.500
0.516 0.125 0.250
0.234 0.625 0.250
0.375 0.484 0.750
0.875 0.766 0.750
```

Formation energy from raw total energies   -0.234 eV per atom
Final energy   -0.535 Ry per atom